Material: HoAgPdPt
Method: DFT, PBE-GGA
State: relaxed

Structure (CIF):
```
data_HoAgPdPt
_chemical_formula_sum 'Ho1 Ag1 Pd1 Pt1'
_space_group_name_H-M_alt 'P m m m'
_space_group_IT_number 47
_cell_length_a 3.984
_cell_length_b 4.183
_cell_length_c 4.352
_cell_angle_alpha 90.00
_cell_angle_beta 90.00
_cell_angle_gamma 90.00
loop_
_space_group_symop_operation_xyz
'x,y,z'
'-x,-y,-z'
'-x,-y,z'
'x,y,-z'
'x,-y,-z'
'-x,y,z'
'-x,y,-z'
'x,-y,z'
loop_
_atom_site_label
_atom_site_fract_x
_atom_site_fract_y
_atom_site_fract_z
Ho1 0.000 0.000 0.000
Ag1 0.000 0.500 0.500
Pd1 0.500 0.000 0.500
Pt1 0.500 0.500 0.000
```

calculated formation energy: -18.06 kcal/mol of atoms
calculated volume: 72.5 Å³/cell
D(E_F): 0.863 states/eV per cell

---

Material: La2ZnAs
Method: DFT, PBE-GGA
State: relaxed

Structure (CIF):
```
data_La2ZnAs
_chemical_formula_sum 'La4 Zn2 As2'
_space_group_name_H-M_alt 'I m m 2'
_space_group_IT_number 44
_cell_length_a 4.030
_cell_length_b 4.676
_cell_length_c 10.937
_cell_angle_alpha 90.00
_cell_angle_beta 90.00
_cell_angle_gamma 90.00
loop_
_space_group_symop_operation_xyz
'x,y,z'
'-x,-y,z'
'-x,y,z'
'x,-y,z'
'x+1/2,y+1/2,z+1/2'
'-x+1/2,-y+1/2,z+1/2'
'-x+1/2,y+1/2,z+1/2'
'x+1/2,-y+1/2,z+1/2'
loop_
_atom_site_label
_atom_site_fract_x
_atom_site_fract_y
_atom_site_fract_z
La1 0.000 0.000 0.000
La2 0.000 0.500 0.230
Zn1 0.000 0.500 0.777
As1 0.000 0.000 0.445
```

calculated formation energy: -16.07 kcal/mol of atoms
calculated volume: 206.1 Å³/cell
D(E_F): 4.701 states/eV per cell

---

no.,VASP energy (eV/atom),energy relative to the lowest polymorph listed for this composition (kJ/mol of formula units)
1,-5.449,0
2,-4.642,48